Arrangement one

A relaxed B2C crystal. Source: Alexandria via LeMat-Bulk, functional PBE.

Computed properties:
Spin magnetization = 0.00 μB per formula unit
Density = 2.29 g/cm³

Cell: 9.929 2.740 7.544 Å, 90.00 108.13 90.00°
Space group Cm (No. 8)
Inequivalent atoms, fractional coordinates:
B  0.000  0.000  0.000 x2
B  0.028  0.000  0.315 x2
B  0.064  0.500  0.162 x2
B  0.116  0.500  0.778 x2
B  0.168  0.500  0.571 x2
B  0.243  0.500  0.162 x2
B  0.323  0.000  0.410 x2
B  0.399  0.000  0.006 x2
C  0.108  0.000  0.872 x2
C  0.185  0.000  0.486 x2
C  0.251  0.000  0.030 x2
C  0.380  0.500  0.359 x2

Arrangement two

A relaxed B2C crystal. Source: Alexandria via LeMat-Bulk, functional PBE.

Computed properties:
Spin magnetization = 0.00 μB per formula unit
Density = 2.51 g/cm³

Cell: 14.265 2.664 4.919 Å, 90.00 107.45 90.00°
Space group Cm (No. 8)
Inequivalent atoms, fractional coordinates:
B  0.000  0.000  0.000 x2
B  0.002  0.000  0.658 x2
B  0.157  0.500  0.282 x2
B  0.179  0.000  0.809 x2
B  0.307  0.000  0.572 x2
B  0.309  0.500  0.169 x2
B  0.381  0.500  0.793 x2
B  0.477  0.000  0.403 x2
C  0.028  0.500  0.163 x2
C  0.191  0.000  0.502 x2
C  0.195  0.500  0.995 x2
C  0.358  0.000  0.311 x2

Most favorable structure: arrangement one. The second most favorable one is 48 meV per atom above it.

Arrangement one

A relaxed TaCu2W crystal. Source: Alexandria via LeMat-Bulk, functional PBE.

Computed properties:
Spin magnetization = 0.00 μB per formula unit
Density = 13.43 g/cm³

Cell: 6.242 6.242 6.242 Å, 90.00 90.00 90.00°
Space group F-43m (No. 216)
Inequivalent atoms, fractional coordinates:
Ta  0.000  0.000  0.000 x4
Cu  0.000  0.000  0.500 x4
Cu  0.250  0.250  0.750 x4
W  0.250  0.250  0.250 x4

Arrangement two

A relaxed TaCu2W crystal. Source: Alexandria via LeMat-Bulk, functional PBE.

Computed properties:
Spin magnetization = 0.00 μB per formula unit
Density = 13.97 g/cm³

Cell: 2.635 4.245 5.385 Å, 90.00 103.83 90.00°
Space group Pm (No. 6)
Inequivalent atoms, fractional coordinates:
Ta  0.000  0.000  0.000 x1
Cu  0.266  0.000  0.522 x1
Cu  0.382  0.500  0.763 x1
W  0.652  0.500  0.296 x1

Most favorable structure: arrangement two. The second most favorable one is 336 meV per atom above it.

Arrangement one

A relaxed Fe2ReBr crystal. Source: Alexandria via LeMat-Bulk, functional PBE.

Computed properties:
Spin magnetization = 0.94 μB per formula unit
Density = 10.22 g/cm³

Cell: 2.866 3.081 6.953 Å, 90.00 90.00 90.00°
Space group Pmmm (No. 47)
Inequivalent atoms, fractional coordinates:
Fe  0.000  0.000  0.198 x2
Re  0.500  0.500  0.000 x1
Br  0.500  0.000  0.500 x1

Arrangement two

A relaxed Fe2ReBr crystal. Source: Alexandria via LeMat-Bulk, functional PBE.

Computed properties:
Spin magnetization = 1.75 μB per formula unit
Density = 8.35 g/cm³

Cell: 5.670 5.670 9.349 Å, 90.00 90.00 90.00°
Space group I-42d (No. 122)
Inequivalent atoms, fractional coordinates:
Fe  0.237  0.250  0.125 x8
Re  0.000  0.000  0.000 x4
Br  0.000  0.000  0.500 x4

Most favorable structure: arrangement one. The second most favorable one is 514 meV per atom above it.

Arrangement one

A relaxed Ba2CaRe crystal. Source: Alexandria via LeMat-Bulk, functional PBE.

Computed properties:
Spin magnetization = 0.68 μB per formula unit
Density = 6.47 g/cm³

Cell: 5.245 5.245 9.345 Å, 90.00 90.00 90.00°
Space group I-4m2 (No. 119)
Inequivalent atoms, fractional coordinates:
Ba  0.000  0.000  0.000 x2
Ba  0.000  0.500  0.250 x2
Ca  0.000  0.500  0.750 x2
Re  0.000  0.000  0.500 x2

Arrangement two

A relaxed Ba2CaRe crystal. Source: Alexandria via LeMat-Bulk, functional PBE.

Computed properties:
Spin magnetization = 1.38 μB per formula unit
Density = 6.11 g/cm³

Cell: 5.224 5.224 4.992 Å, 90.00 90.00 90.00°
Space group P4/mmm (No. 123)
Inequivalent atoms, fractional coordinates:
Ba  0.000  0.500  0.000 x2
Ca  0.000  0.000  0.500 x1
Re  0.500  0.500  0.500 x1

Most favorable structure: arrangement one. The second most favorable one is 34 meV per atom above it.

Arrangement one

A relaxed Ir2AuCl crystal. Source: Alexandria via LeMat-Bulk, functional PBE.

Computed properties:
Spin magnetization = 0.00 μB per formula unit
Density = 12.92 g/cm³

Cell: 4.540 4.540 15.381 Å, 90.00 90.00 90.00°
Space group I-42d (No. 122)
Inequivalent atoms, fractional coordinates:
Ir  0.132  0.250  0.125 x8
Au  0.000  0.000  0.500 x4
Cl  0.000  0.000  0.000 x4

Arrangement two

A relaxed Ir2AuCl crystal. Source: Alexandria via LeMat-Bulk, functional PBE.

Computed properties:
Spin magnetization = 0.00 μB per formula unit
Density = 16.02 g/cm³

Cell: 2.853 3.720 6.025 Å, 90.00 90.00 90.00°
Space group Pmmm (No. 47)
Inequivalent atoms, fractional coordinates:
Ir  0.000  0.000  0.239 x2
Au  0.500  0.500  0.500 x1
Cl  0.500  0.500  0.000 x1

Most favorable structure: arrangement two. The second most favorable one is 6 meV per atom above it.